The following is a meta-GGA SCAN calculation of a crystal of MgOsO2 relaxed with PBEsol, from Alexandria.

space-group type = I-42d, No. 122
Fermi-level density of states = 0.4926 states/eV per atom
energy relative to the elements, uncorrected = -0.91 eV per atom

Geometry as POSCAR:
```
MgOsO2
1.0
-0.194 4.264 2.168
-4.343 -3.150 0.521
-0.554 -2.176 4.229
O Mg Os
4 2 2
Direct
0.875 0.250 0.605
0.605 0.750 0.375
0.145 0.750 0.875
0.375 0.250 0.145
0.500 0.000 0.500
0.250 0.500 0.250
0.750 0.500 0.750
0.000 0.000 0.000
```


The following is a meta-GGA SCAN calculation of a crystal of Sr2YCo relaxed with PBEsol, from Alexandria.

space-group type = P4/mmm, No. 123
Fermi-level density of states = 0.9746 states/eV per atom
ΔE_f = 0.57 eV per atom

Geometry as POSCAR:
```
Sr2YCo
1.0
4.568 0.000 0.000
0.000 4.568 0.000
0.000 0.000 5.419
Sr Co Y
2 1 1
Direct
0.500 0.000 0.000
0.000 0.500 0.000
0.000 0.000 0.500
0.500 0.500 0.500
```


The following is a meta-GGA SCAN calculation of a crystal of CsS2Br2 relaxed with PBEsol, from Alexandria.

space-group type = I4/mmm, No. 139
Fermi-level density of states = 0.8287 states/eV per atom
energy relative to the elements, uncorrected = -0.22 eV per atom

Geometry as POSCAR:
```
CsS2Br2
1.0
3.407 0.000 0.000
0.000 3.407 0.000
-1.703 -1.703 12.200
Br S Cs
2 2 1
Direct
0.397 0.397 0.795
0.603 0.603 0.205
0.750 0.250 0.500
0.250 0.750 0.500
0.000 0.000 0.000
```


The following is a meta-GGA SCAN calculation of a crystal of Zr2Ni2Pd relaxed with PBEsol, from Alexandria.

space-group type = P4/mbm, No. 127
Fermi-level density of states = 0.6310 states/eV per atom
ΔE_f = -0.63 eV per atom

Geometry as POSCAR:
```
Zr2Ni2Pd
1.0
-0.833 -2.106 2.360
6.599 -0.447 1.930
-0.920 5.253 4.362
Zr Ni Pd
4 4 2
Direct
0.500 0.675 0.825
0.500 0.825 0.325
0.500 0.325 0.175
0.500 0.175 0.675
0.000 0.375 0.875
0.000 0.875 0.625
0.000 0.125 0.375
0.000 0.625 0.125
0.000 0.500 0.500
0.000 0.000 0.000
```


The following is a meta-GGA SCAN calculation of a crystal of Cu3Pt2 relaxed with PBEsol, from Alexandria.

space-group type = I4/mmm, No. 139
Fermi-level density of states = 0.5561 states/eV per atom
ΔE_f = -0.08 eV per atom
energy relative to the lowest polymorph listed for this composition = 34 kJ/mol of formula units

Geometry as POSCAR:
```
Cu3Pt2
1.0
2.740 0.000 0.000
0.000 2.740 0.000
-1.370 -1.370 8.527
Cu Pt
3 2
Direct
0.911 0.911 0.822
0.500 0.500 0.000
0.089 0.089 0.178
0.309 0.309 0.618
0.691 0.691 0.382
```


The following is a meta-GGA SCAN calculation of a crystal of IrOsBr2 relaxed with PBEsol, from Alexandria.

space-group type = Fm-3m, No. 225
Fermi-level density of states = 0.6734 states/eV per atom
energy relative to the elements, uncorrected = 1.91 eV per atom
energy relative to the lowest polymorph listed for this composition = 462 kJ/mol of formula units

Geometry as POSCAR:
```
IrOsBr2
1.0
-3.321 -2.488 1.768
0.268 -4.503 -0.079
0.687 -2.286 3.828
Br Os Ir
2 1 1
Direct
0.750 0.750 0.750
0.250 0.250 0.250
0.500 0.500 0.500
0.000 0.000 0.000
```


The following is a meta-GGA SCAN calculation of a crystal of ZnPbI3 relaxed with PBEsol, from Alexandria.

space-group type = Pm-3m, No. 221
Fermi-level density of states = 0.6637 states/eV per atom
energy relative to the elements, uncorrected = -0.14 eV per atom

Geometry as POSCAR:
```
ZnPbI3
1.0
5.462 0.000 0.000
0.000 5.462 0.000
0.000 0.000 5.462
I Pb Zn
3 1 1
Direct
0.500 0.000 0.000
0.000 0.500 0.000
0.000 0.000 0.500
0.500 0.500 0.500
0.000 0.000 0.000
```


The following is a meta-GGA SCAN calculation of a crystal of Y2CdW relaxed with PBEsol, from Alexandria.

space-group type = R3m, No. 160
Fermi-level density of states = 0.9459 states/eV per atom
ΔE_f = 0.62 eV per atom

Geometry as POSCAR:
```
Y2CdW
1.0
-2.271 -1.804 1.208
-1.512 -2.058 -1.831
5.889 -8.677 2.197
Cd Y W
1 2 1
Direct
0.507 0.507 0.478
0.990 0.990 0.029
0.755 0.755 0.734
0.247 0.247 0.258
```


The following is a meta-GGA SCAN calculation of a crystal of BaSrS2 relaxed with PBEsol, from Alexandria.

space-group type = R-3m, No. 166
Fermi-level density of states = 0.6707 states/eV per atom
energy relative to the elements, uncorrected = -1.51 eV per atom
energy relative to the lowest polymorph listed for this composition = 240 kJ/mol of formula units

Geometry as POSCAR:
```
BaSrS2
1.0
-3.883 -0.949 2.162
-0.462 -3.940 2.218
1.619 2.011 8.567
Sr S Ba
1 2 1
Direct
0.500 0.500 0.500
0.110 0.110 0.671
0.890 0.890 0.329
0.000 0.000 0.000
```


The following is a meta-GGA SCAN calculation of a crystal of La3AsPb relaxed with PBEsol, from Alexandria.

space-group type = Pm-3m, No. 221
Fermi-level density of states = 0.9316 states/eV per atom
ΔE_f = 0.01 eV per atom

Geometry as POSCAR:
```
La3AsPb
1.0
-1.897 3.647 -4.251
-2.358 -4.591 -2.887
-5.081 0.769 2.927
La As Pb
3 1 1
Direct
0.500 0.000 0.000
0.000 0.500 0.000
0.000 0.000 0.500
0.500 0.500 0.500
0.000 0.000 0.000
```


The following is a meta-GGA SCAN calculation of a crystal of LiTe relaxed with PBEsol, from Alexandria.

space-group type = P6_3/mmc, No. 194
Fermi-level density of states = 0.3305 states/eV per atom
energy relative to the elements, uncorrected = -0.42 eV per atom
energy relative to the lowest polymorph listed for this composition = 62 kJ/mol of formula units

Geometry as POSCAR:
```
LiTe
1.0
-3.389 -4.116 0.628
2.663 0.603 -4.622
6.138 -4.607 2.935
Li Te
4 4
Direct
0.333 0.667 0.084
0.333 0.667 0.416
0.667 0.333 0.916
0.667 0.333 0.584
0.000 0.000 0.750
0.000 0.000 0.250
0.667 0.333 0.250
0.333 0.667 0.750
```


The following is a meta-GGA SCAN calculation of a crystal of MgAg3Au relaxed with PBEsol, from Alexandria.

space-group type = Pm-3m, No. 221
Fermi-level density of states = 0.3349 states/eV per atom
ΔE_f = 0.55 eV per atom

Geometry as POSCAR:
```
MgAg3Au
1.0
-2.763 -2.019 -3.687
3.856 -2.975 -1.260
-1.675 -3.518 3.182
Mg Au Ag
1 1 3
Direct
0.500 0.500 0.500
0.000 0.000 0.000
0.000 0.000 0.500
0.000 0.500 0.000
0.500 0.000 0.000
```